This record from Alexandria via LeMat-Bulk describes a relaxed Pa2Cu2Se7 crystal. The functional is PBE-GGA.

abc: 7.4525 12.3975 7.0691
angles: 90.00 105.03 90.00
Space group C2/m (No. 12)
Symmetry-distinct sites (fractional):
Pa: 0.0000 0.1701 0.0000
Cu: 0.1948 0.5000 0.2648
Se: 0.0000 0.5000 0.5000
Se: 0.1785 0.0000 0.2358
Se: 0.2490 0.3144 0.2326

Summary:
DFT total energy = -5.4365 eV/atom
M_tot = 0.00 μB/cell
D(E_F) = 4.6 states/eV per cell

This record from Alexandria via LeMat-Bulk describes a relaxed Mn2SnAs2 crystal. The functional is PBE-GGA.

abc: 3.7379 3.7379 11.4542
angles: 90.00 90.00 90.00
Space group I4/mmm (No. 139)
Symmetry-distinct sites (fractional):
Mn: 0.0000 0.0000 0.1159
Sn: 0.0000 0.0000 0.5000
As: 0.0000 0.5000 0.2500

Summary:
calculated formation energy = 0.22 eV/atom
DFT total energy = -6.1131 eV/atom
M_tot = 0.00 μB/cell
D(E_F) = 5.3 states/eV per cell

This record from Alexandria via LeMat-Bulk describes a relaxed NaZnPtPb crystal. The functional is PBE-GGA.

abc: 6.7610 6.7610 6.7610
angles: 90.00 90.00 90.00
Space group F-43m (No. 216)
Symmetry-distinct sites (fractional):
Na: 0.0000 0.0000 0.0000
Zn: 0.2500 0.2500 0.2500
Pt: 0.0000 0.0000 0.5000
Pb: 0.2500 0.2500 0.7500

Summary:
calculated formation energy = -0.18 eV/atom
DFT total energy = -3.2617 eV/atom
M_tot = 0.00 μB/cell
D(E_F) = 4.8 states/eV per cell